1.
! Y4Ag (GGA-PBE, optimized geometry); values from VASP
&SYSTEM
  ibrav = 0, nat = 5, ntyp = 2
/
ATOMIC_SPECIES
Y 88.91 Y.upf
Ag 107.87 Ag.upf
CELL_PARAMETERS angstrom
6.132 -7.329 -0.067
6.539 -4.655 5.186
-8.443 4.218 -1.493
ATOMIC_POSITIONS angstrom
Y 2.012 -4.551 0.499
Y 5.232 -4.948 2.113
Y 7.439 -7.036 3.005
Y 2.215 -3.214 3.126
Ag 0.000 0.000 0.000
! total DFT energy (no corrections) = -5.3318 eV/atom
! space group = I4/mmm



2.
! Y2Ag (GGA-PBE, optimized geometry); values from VASP
&SYSTEM
  ibrav = 0, nat = 6, ntyp = 2
/
ATOMIC_SPECIES
Y 88.91 Y.upf
Ag 107.87 Ag.upf
CELL_PARAMETERS angstrom
3.366 6.811 -2.603
-4.864 -6.312 -0.995
-4.146 2.860 2.122
ATOMIC_POSITIONS angstrom
Y 1.288 5.866 -1.869
Y -1.225 1.858 -1.378
Y -4.418 1.501 -0.098
Y -6.932 -2.507 0.393
Ag -4.067 -2.674 -0.823
Ag -1.577 6.032 -0.653
! total DFT energy (no corrections) = -5.3636 eV/atom
! space group = Cmcm



3.
! Y2Ag (GGA-PBE, optimized geometry); values from VASP
&SYSTEM
  ibrav = 0, nat = 6, ntyp = 2
/
ATOMIC_SPECIES
Ag 107.87 Ag.upf
Y 88.91 Y.upf
CELL_PARAMETERS angstrom
-5.444 2.589 0.306
1.423 -3.838 4.437
4.007 4.501 0.342
ATOMIC_POSITIONS angstrom
Ag -1.005 -0.312 1.186
Ag -3.016 -0.937 3.557
Y 1.560 1.413 1.694
Y 0.032 -1.597 3.848
Y -0.047 4.850 1.237
Y -1.574 1.840 3.390
! total DFT energy (no corrections) = -5.4184 eV/atom
! space group = I4/mcm



4.
! Y2Ag3 (GGA-PBE, optimized geometry); values from VASP
&SYSTEM
  ibrav = 0, nat = 5, ntyp = 2
/
ATOMIC_SPECIES
Y 88.91 Y.upf
Ag 107.87 Ag.upf
CELL_PARAMETERS angstrom
-5.397 0.232 0.698
-4.157 -3.231 1.397
-3.537 0.099 6.772
ATOMIC_POSITIONS angstrom
Y -5.651 -0.841 5.865
Y -7.439 -2.058 3.002
Ag -3.084 -0.216 4.405
Ag -4.777 -1.499 1.047
Ag -10.006 -2.683 4.461
! total DFT energy (no corrections) = -4.4899 eV/atom
! space group = C2/m



5.
! Y2Ag (GGA-PBE, optimized geometry); values from VASP
&SYSTEM
  ibrav = 0, nat = 6, ntyp = 2
/
ATOMIC_SPECIES
Ag 107.87 Ag.upf
Y 88.91 Y.upf
CELL_PARAMETERS angstrom
-4.594 -1.110 -4.817
-1.573 -3.183 -5.739
3.626 -1.043 14.222
ATOMIC_POSITIONS angstrom
Ag -0.053 -0.269 0.429
Ag 0.167 -1.898 4.812
Y 1.765 -1.592 9.358
Y -1.588 -2.811 1.115
Y -2.801 -2.987 -2.463
Y -0.396 -3.761 7.153
! total DFT energy (no corrections) = -5.4067 eV/atom
! space group = Cm



6.
! Y5Ag4 (GGA-PBE, optimized geometry); values from VASP
&SYSTEM
  ibrav = 0, nat = 18, ntyp = 2
/
ATOMIC_SPECIES
Ag 107.87 Ag.upf
Y 88.91 Y.upf
CELL_PARAMETERS angstrom
9.078 0.000 0.000
4.539 7.862 0.000
0.000 0.000 6.505
ATOMIC_POSITIONS angstrom
Ag 0.000 0.000 0.000
Ag 0.000 0.000 3.253
Ag 7.318 3.048 1.626
Ag 2.779 4.814 1.626
Ag 3.520 0.000 1.626
Ag 6.299 4.814 4.879
Ag 1.760 3.048 4.879
Ag 5.558 0.000 4.879
Y 5.822 5.641 1.626
Y 1.283 2.221 1.626
Y 6.513 0.000 1.626
Y 7.796 2.221 4.879
Y 3.257 5.641 4.879
Y 2.565 0.000 4.879
Y 4.539 2.621 0.000
Y 9.078 5.241 3.253
Y 9.078 5.241 0.000
Y 4.539 2.621 3.253
! total DFT energy (no corrections) = -5.0576 eV/atom
! space group = P6_3/mcm



7.
! Y7Ag (GGA-PBE, optimized geometry); values from VASP
&SYSTEM
  ibrav = 0, nat = 8, ntyp = 2
/
ATOMIC_SPECIES
Y 88.91 Y.upf
Ag 107.87 Ag.upf
CELL_PARAMETERS angstrom
-0.401 1.784 6.745
-3.998 5.387 1.958
-5.897 -1.142 3.571
ATOMIC_POSITIONS angstrom
Y -0.201 0.892 3.372
Y -2.949 -0.571 1.786
Y -3.149 0.321 5.158
Y -1.999 2.693 0.979
Y -2.200 3.585 4.351
Y -4.948 2.123 2.765
Y -5.148 3.014 6.137
Ag 0.000 0.000 0.000
! total DFT energy (no corrections) = -5.9739 eV/atom
! space group = Fm-3m



8.
! Y4Ag (GGA-PBE, optimized geometry); values from VASP
&SYSTEM
  ibrav = 0, nat = 5, ntyp = 2
/
ATOMIC_SPECIES
Y 88.91 Y.upf
Ag 107.87 Ag.upf
CELL_PARAMETERS angstrom
-3.475 3.475 3.475
3.475 -3.475 3.475
3.475 3.475 -3.475
ATOMIC_POSITIONS angstrom
Y -1.737 1.737 1.737
Y 1.737 1.737 1.737
Y 1.737 -1.737 1.737
Y 1.737 1.737 -1.737
Ag 0.000 0.000 0.000
! total DFT energy (no corrections) = -5.3409 eV/atom
! space group = Im-3m



| no. | E_form (eV/f.u.) |
| --- | --- |
| 1 | 2.05 |
| 2 | -0.31 |
| 3 | -0.48 |
| 4 | -0.97 |
| 5 | -0.44 |
| 6 | -1.79 |
| 7 | 0.31 |
| 8 | 2.00 |